Compound: Pm2ReO6
Source: Alexandria via LeMat-Bulk
Functional: PBE-GGA
Structure: relaxed

Lattice parameters (Å, degrees): 5.532 6.029 9.070 90.00 120.87 90.00
Atoms (fractional coordinates):
Pm (0.203, 0.089, 0.241)
Pm (0.203, 0.411, 0.741)
Pm (0.797, 0.589, 0.259)
Pm (0.797, 0.911, 0.759)
Re (0.500, 0.000, 0.000)
Re (0.500, 0.500, 0.500)
O (0.155, 0.161, 0.948)
O (0.155, 0.339, 0.448)
O (0.282, 0.733, 0.917)
O (0.282, 0.767, 0.417)
O (0.422, 0.065, 0.771)
O (0.422, 0.435, 0.271)
O (0.578, 0.565, 0.729)
O (0.578, 0.935, 0.229)
O (0.718, 0.233, 0.583)
O (0.718, 0.267, 0.083)
O (0.845, 0.661, 0.552)
O (0.845, 0.839, 0.052)

Computed properties:
ΔE_f (raw): -2.5983 eV per atom
Volume: 260 Å³ per cell
VASP energy: -8.3426 eV per atom

Compound: ZrSO3
Source: Alexandria via LeMat-Bulk
Functional: PBE-GGA
Structure: relaxed

Lattice parameters (Å, degrees): 3.823 3.823 3.823 90.00 90.00 90.00
Atoms (fractional coordinates):
Zr (0.000, 0.000, 0.000)
S (0.500, 0.500, 0.500)
O (0.000, 0.500, 0.500)
O (0.500, 0.000, 0.500)
O (0.500, 0.500, 0.000)

Computed properties:
ΔE_f (raw): -0.4990 eV per atom
Volume: 56 Å³ per cell
VASP energy: -6.0090 eV per atom

- Which of these has the highest ΔE_f (raw)?
  ZrSO3